1.
! TbInRu2 PBE optimized geometry; values from VASP
&SYSTEM
  ibrav = 0, nat = 4, ntyp = 3
/
ATOMIC_SPECIES
Ru 101.07 Ru.upf
Tb 158.93 Tb.upf
In 114.82 In.upf
CELL_PARAMETERS angstrom
-1.4579 -0.9344 -2.8932
2.7706 -1.7296 -0.8375
-2.4105 -5.2743 2.9179
ATOMIC_POSITIONS crystal
Ru 0.0000 0.0000 0.7694
Ru 0.0000 0.0000 0.2306
Tb 0.5000 0.5000 0.5000
In 0.5000 0.5000 0.0000
! calculated density	10.71	g cm⁻³
! total magnetic moment	0.0	μB/f.u.
! raw total energy	-0.4832	Ry/atom
! calculated volume	18.45	Å³ per atom
! energy of formation from the pure elements	-0.094	eV per atom



2.
! CaTcW2 PBE optimized geometry; values from VASP
&SYSTEM
  ibrav = 0, nat = 4, ntyp = 3
/
ATOMIC_SPECIES
Ca 40.08 Ca.upf
Tc 98.00 Tc.upf
W 183.84 W.upf
CELL_PARAMETERS angstrom
5.5609 0.0086 0.0000
-2.9299 4.7265 0.0000
0.0000 0.0000 2.6821
ATOMIC_POSITIONS crystal
Ca 0.5000 0.0000 0.5000
Tc 0.0000 0.5000 0.5000
W 0.0000 0.0000 0.0000
W 0.5000 0.5000 0.0000
! calculated density	11.90	g cm⁻³
! total magnetic moment	0.0	μB/f.u.
! raw total energy	-0.6438	Ry/atom
! calculated volume	17.64	Å³ per atom
! energy of formation from the pure elements	0.810	eV per atom



3.
! LiInRe4 PBE optimized geometry; values from VASP
&SYSTEM
  ibrav = 0, nat = 6, ntyp = 3
/
ATOMIC_SPECIES
Li 6.94 Li.upf
In 114.82 In.upf
Re 186.21 Re.upf
CELL_PARAMETERS angstrom
2.7815 1.2345 4.2760
3.0797 4.2497 -0.0094
-1.3127 4.1983 2.8627
ATOMIC_POSITIONS crystal
Li 0.0000 0.0000 0.0000
In 0.7500 0.7500 0.7500
Re 0.8762 0.3746 0.3746
Re 0.3746 0.3746 0.8762
Re 0.3746 0.8762 0.3746
Re 0.3746 0.3746 0.3746
! calculated density	14.08	g cm⁻³
! total magnetic moment	0.0	μB/f.u.
! raw total energy	-0.6335	Ry/atom
! calculated volume	17.04	Å³ per atom
! energy of formation from the pure elements	0.456	eV per atom



4.
! RbPt PBE optimized geometry; values from VASP
&SYSTEM
  ibrav = 0, nat = 4, ntyp = 2
/
ATOMIC_SPECIES
Rb 85.47 Rb.upf
Pt 195.08 Pt.upf
CELL_PARAMETERS angstrom
-1.8019 1.5371 9.6089
-5.2143 -1.0489 8.3457
-1.2809 -2.8904 9.3779
ATOMIC_POSITIONS crystal
Rb 0.0794 0.0794 0.0794
Rb 0.9206 0.9206 0.9206
Pt 0.3333 0.3333 0.3333
Pt 0.6667 0.6667 0.6667
! calculated density	5.65	g cm⁻³
! total magnetic moment	0.0	μB/f.u.
! raw total energy	-0.2629	Ry/atom
! calculated volume	41.22	Å³ per atom
! energy of formation from the pure elements	-0.073	eV per atom



5.
! HfHRh3 PBE optimized geometry; values from VASP
&SYSTEM
  ibrav = 0, nat = 10, ntyp = 3
/
ATOMIC_SPECIES
Rh 102.91 Rh.upf
Hf 178.49 Hf.upf
H 1.01 H.upf
CELL_PARAMETERS angstrom
-2.2539 -5.5558 -3.6718
1.4123 -6.8713 -0.4678
-3.2707 -6.0990 1.2382
ATOMIC_POSITIONS crystal
Rh 0.4183 0.1266 0.7702
Rh 0.1266 0.7702 0.4183
Rh 0.2298 0.5817 0.8734
Rh 0.8734 0.2298 0.5817
Rh 0.5817 0.8734 0.2298
Rh 0.7702 0.4183 0.1266
Hf 0.3238 0.3238 0.3238
Hf 0.6762 0.6762 0.6762
H 0.0629 0.0629 0.0629
H 0.9371 0.9371 0.9371
! calculated density	11.50	g cm⁻³
! total magnetic moment	0.0	μB/f.u.
! raw total energy	-0.5325	Ry/atom
! calculated volume	14.10	Å³ per atom



6.
! SrPm2Ru PBE optimized geometry; values from VASP
&SYSTEM
  ibrav = 0, nat = 4, ntyp = 3
/
ATOMIC_SPECIES
Ru 101.07 Ru.upf
Sr 87.62 Sr.upf
Pm 145.00 Pm.upf
CELL_PARAMETERS angstrom
3.5468 0.0000 0.0000
0.0000 3.5468 0.0000
0.0000 0.0000 10.1922
ATOMIC_POSITIONS crystal
Ru 0.5000 0.5000 0.0000
Sr 0.5000 0.5000 0.5000
Pm 0.0000 0.0000 0.8361
Pm 0.0000 0.0000 0.1639
! calculated density	6.20	g cm⁻³
! total magnetic moment	0.0	μB/f.u.
! raw total energy	-0.3815	Ry/atom
! calculated volume	32.05	Å³ per atom
! energy of formation from the pure elements	-0.076	eV per atom



7.
! Sr2MoSe PBE optimized geometry; values from VASP
&SYSTEM
  ibrav = 0, nat = 4, ntyp = 3
/
ATOMIC_SPECIES
Mo 95.94 Mo.upf
Se 78.96 Se.upf
Sr 87.62 Sr.upf
CELL_PARAMETERS angstrom
-0.2558 3.2990 2.1807
-4.0901 -1.6745 2.0534
1.2319 -3.4800 5.4090
ATOMIC_POSITIONS crystal
Mo 0.0000 0.6931 0.4882
Se 0.5000 0.5560 0.7639
Sr 0.0000 0.9809 0.9133
Sr 0.5000 0.2700 0.3346
! calculated density	4.95	g cm⁻³
! total magnetic moment	2.0	μB/f.u.
! formation energy without anion corrections	-0.095	eV/atom
! raw total energy	-0.3318	Ry/atom
! calculated volume	29.34	Å³ per atom



8.
! Sn3Pd3Au PBE optimized geometry; values from VASP
&SYSTEM
  ibrav = 0, nat = 14, ntyp = 3
/
ATOMIC_SPECIES
Sn 118.71 Sn.upf
Pd 106.42 Pd.upf
Au 196.97 Au.upf
CELL_PARAMETERS angstrom
4.8991 0.0000 0.0000
0.0000 8.0303 0.0000
0.0000 -4.0152 6.9544
ATOMIC_POSITIONS crystal
Sn 0.7500 0.6553 0.5708
Sn 0.7500 0.4292 0.0845
Sn 0.7500 0.9155 0.3447
Sn 0.2500 0.3447 0.4292
Sn 0.2500 0.5708 0.9155
Sn 0.2500 0.0845 0.6553
Pd 0.2500 0.8122 0.7652
Pd 0.2500 0.2348 0.0470
Pd 0.2500 0.9530 0.1878
Pd 0.7500 0.1878 0.2348
Pd 0.7500 0.7652 0.9530
Pd 0.7500 0.0470 0.8122
Au 0.2500 0.6667 0.3333
Au 0.7500 0.3333 0.6667
! calculated density	10.59	g cm⁻³
! total magnetic moment	0.0	μB/f.u.
! raw total energy	-0.3451	Ry/atom
! calculated volume	19.54	Å³ per atom
! energy of formation from the pure elements	-0.286	eV per atom